<A>
Below is a geometry-optimized PmThAg structure, with properties calculated at the GGA-PBE level.

Summary:
Its calculated density is 9.298 g/cm3.

Geometry as CIF:
```
data_PmThAg
_chemical_formula_sum 'Pm2 Th2 Ag2'
_cell_length_a 3.6766
_cell_length_b 3.6766
_cell_length_c 12.8140
_cell_angle_alpha 90.00
_cell_angle_beta 90.00
_cell_angle_gamma 90.00
_space_group_name_H-M_alt 'I 4 m m'
_space_group_IT_number 107
_space_group_name_Hall 'I 4 -2'
loop_
_atom_site_label
_atom_site_type_symbol
_atom_site_fract_x
_atom_site_fract_y
_atom_site_fract_z
Pm1 Pm 0.0000 0.0000 0.0000
Th1 Th 0.0000 0.0000 0.6941
Ag1 Ag 0.0000 0.0000 0.3493
```

<B>
Below is a geometry-optimized PmThAg structure, with properties calculated at the GGA-PBE level.

Summary:
Its calculated density is 9.784 g/cm3.

Geometry as CIF:
```
data_PmThAg
_chemical_formula_sum 'Pm1 Th1 Ag1'
_cell_length_a 5.1879
_cell_length_b 5.1879
_cell_length_c 3.5307
_cell_angle_alpha 90.00
_cell_angle_beta 90.00
_cell_angle_gamma 120.00
_space_group_name_H-M_alt 'P 3 m 1'
_space_group_IT_number 156
_space_group_name_Hall 'P 3 -2"'
loop_
_atom_site_label
_atom_site_type_symbol
_atom_site_fract_x
_atom_site_fract_y
_atom_site_fract_z
Pm1 Pm 0.0000 0.0000 0.0000
Th1 Th 0.3333 0.6667 0.3864
Ag1 Ag 0.6667 0.3333 0.6707
```

Bottom line: <A>, by a margin of 184 meV/atom.

<A>
Below is a geometry-optimized Pm2ThAg structure, with properties calculated at the GGA-PBE level.

Summary:
Its calculated density is 8.263 g/cm3.

Geometry as CIF:
```
data_Pm2ThAg
_chemical_formula_sum 'Pm6 Th3 Ag3'
_cell_length_a 3.5331
_cell_length_b 3.5331
_cell_length_c 35.1275
_cell_angle_alpha 90.00
_cell_angle_beta 90.00
_cell_angle_gamma 120.00
_space_group_name_H-M_alt 'R -3 m'
_space_group_IT_number 166
_space_group_name_Hall '-R 3 2"'
loop_
_atom_site_label
_atom_site_type_symbol
_atom_site_fract_x
_atom_site_fract_y
_atom_site_fract_z
Pm1 Pm 0.0000 0.0000 0.0865
Th1 Th 0.0000 0.0000 0.5000
Ag1 Ag 0.0000 0.0000 0.0000
```

<B>
Below is a geometry-optimized Pm2ThAg structure, with properties calculated at the GGA-PBE level.

Summary:
Its calculated density is 8.947 g/cm3.

Geometry as CIF:
```
data_Pm2ThAg
_chemical_formula_sum 'Pm2 Th1 Ag1'
_cell_length_a 5.7095
_cell_length_b 5.7095
_cell_length_c 3.5865
_cell_angle_alpha 90.00
_cell_angle_beta 90.00
_cell_angle_gamma 90.00
_space_group_name_H-M_alt 'P 4/m m m'
_space_group_IT_number 123
_space_group_name_Hall '-P 4 2'
loop_
_atom_site_label
_atom_site_type_symbol
_atom_site_fract_x
_atom_site_fract_y
_atom_site_fract_z
Pm1 Pm 0.0000 0.5000 0.0000
Th1 Th 0.0000 0.0000 0.5000
Ag1 Ag 0.5000 0.5000 0.5000
```

Bottom line: <B>, by a margin of 228 meV/atom.

<A>
Below is a geometry-optimized Pm2ThAg structure, with properties calculated at the GGA-PBE level.

Summary:
Its calculated density is 8.645 g/cm3.

Geometry as CIF:
```
data_Pm2ThAg
_chemical_formula_sum 'Pm4 Th2 Ag2'
_cell_length_a 6.2156
_cell_length_b 3.5942
_cell_length_c 11.0277
_cell_angle_alpha 90.00
_cell_angle_beta 100.81
_cell_angle_gamma 90.00
_space_group_name_H-M_alt 'C 1 m 1'
_space_group_IT_number 8
_space_group_name_Hall 'C -2y'
loop_
_atom_site_label
_atom_site_type_symbol
_atom_site_fract_x
_atom_site_fract_y
_atom_site_fract_z
Pm1 Pm 0.0000 0.0000 0.0000
Pm2 Pm 0.1840 0.0000 0.5507
Th1 Th 0.4261 0.0000 0.2744
Ag1 Ag 0.0925 0.5000 0.7750
```

<B>
Below is a geometry-optimized Pm2ThAg structure, with properties calculated at the GGA-PBE level.

Summary:
Its calculated density is 8.942 g/cm3.

Geometry as CIF:
```
data_Pm2ThAg
_chemical_formula_sum 'Pm2 Th1 Ag1'
_cell_length_a 3.6873
_cell_length_b 3.6873
_cell_length_c 8.6030
_cell_angle_alpha 90.00
_cell_angle_beta 90.00
_cell_angle_gamma 90.00
_space_group_name_H-M_alt 'P 4/m m m'
_space_group_IT_number 123
_space_group_name_Hall '-P 4 2'
loop_
_atom_site_label
_atom_site_type_symbol
_atom_site_fract_x
_atom_site_fract_y
_atom_site_fract_z
Pm1 Pm 0.0000 0.0000 0.2222
Th1 Th 0.5000 0.5000 0.5000
Ag1 Ag 0.5000 0.5000 0.0000
```

Bottom line: <B>, by a margin of 158 meV/atom.

<A>
Below is a geometry-optimized Pm2Tl2Ag structure, with properties calculated at the GGA-PBE level.

Summary:
Its calculated density is 9.506 g/cm3.

Geometry as CIF:
```
data_Pm2Tl2Ag
_chemical_formula_sum 'Pm4 Tl4 Ag2'
_cell_length_a 4.3109
_cell_length_b 6.8603
_cell_length_c 9.5284
_cell_angle_alpha 90.00
_cell_angle_beta 90.00
_cell_angle_gamma 90.00
_space_group_name_H-M_alt 'I m m m'
_space_group_IT_number 71
_space_group_name_Hall '-I 2 2'
loop_
_atom_site_label
_atom_site_type_symbol
_atom_site_fract_x
_atom_site_fract_y
_atom_site_fract_z
Pm1 Pm 0.0000 0.0000 0.2212
Tl1 Tl 0.0000 0.2775 0.5000
Ag1 Ag 0.0000 0.5000 0.0000
```

<B>
Below is a geometry-optimized Pm2Tl2Ag structure, with properties calculated at the GGA-PBE level.

Summary:
Its calculated density is 9.609 g/cm3.

Geometry as CIF:
```
data_Pm2Tl2Ag
_chemical_formula_sum 'Pm8 Tl8 Ag4'
_cell_length_a 11.4800
_cell_length_b 4.8247
_cell_length_c 11.0863
_cell_angle_alpha 90.00
_cell_angle_beta 114.76
_cell_angle_gamma 90.00
_space_group_name_H-M_alt 'C 1 2/m 1'
_space_group_IT_number 12
_space_group_name_Hall '-C 2y'
loop_
_atom_site_label
_atom_site_type_symbol
_atom_site_fract_x
_atom_site_fract_y
_atom_site_fract_z
Pm1 Pm 0.0302 0.0000 0.3445
Pm2 Pm 0.1719 0.0000 0.0971
Tl1 Tl 0.0380 0.5000 0.8757
Tl2 Tl 0.1413 0.5000 0.5856
Ag1 Ag 0.2198 0.5000 0.3380
```

Bottom line: <B>, by a margin of 71 meV/atom.

<A>
Below is a geometry-optimized Pm3Tl3Ag2 structure, with properties calculated at the GGA-PBE level.

Summary:
Its calculated density is 10.005 g/cm3.

Geometry as CIF:
```
data_Pm3Tl3Ag2
_chemical_formula_sum 'Pm6 Tl6 Ag4'
_cell_length_a 4.6196
_cell_length_b 4.9920
_cell_length_c 18.1926
_cell_angle_alpha 90.00
_cell_angle_beta 90.00
_cell_angle_gamma 90.00
_space_group_name_H-M_alt 'I m m m'
_space_group_IT_number 71
_space_group_name_Hall '-I 2 2'
loop_
_atom_site_label
_atom_site_type_symbol
_atom_site_fract_x
_atom_site_fract_y
_atom_site_fract_z
Pm1 Pm 0.0000 0.0000 0.0000
Pm2 Pm 0.0000 0.5000 0.1423
Tl1 Tl 0.0000 0.0000 0.5000
Tl2 Tl 0.0000 0.5000 0.3603
Ag1 Ag 0.0000 0.0000 0.2457
```

<B>
Below is a geometry-optimized Pm3Tl3Ag2 structure, with properties calculated at the GGA-PBE level.

Summary:
Its calculated density is 9.654 g/cm3.

Geometry as CIF:
```
data_Pm3Tl3Ag2
_chemical_formula_sum 'Pm3 Tl3 Ag2'
_cell_length_a 8.0241
_cell_length_b 8.0241
_cell_length_c 3.8990
_cell_angle_alpha 90.00
_cell_angle_beta 90.00
_cell_angle_gamma 120.00
_space_group_name_H-M_alt 'P -6 2 m'
_space_group_IT_number 189
_space_group_name_Hall 'P -6 -2'
loop_
_atom_site_label
_atom_site_type_symbol
_atom_site_fract_x
_atom_site_fract_y
_atom_site_fract_z
Pm1 Pm 0.0000 0.3946 0.0000
Tl1 Tl 0.0000 0.7550 0.5000
Ag1 Ag 0.3333 0.6667 0.5000
```

Bottom line: <B>, by a margin of 12 meV/atom.

<A>
Below is a geometry-optimized PmTm2Ag structure, with properties calculated at the GGA-PBE level.

Summary:
Its calculated density is 8.521 g/cm3.

Geometry as CIF:
```
data_PmTm2Ag
_chemical_formula_sum 'Pm3 Tm6 Ag3'
_cell_length_a 3.5971
_cell_length_b 3.5971
_cell_length_c 30.8215
_cell_angle_alpha 90.00
_cell_angle_beta 90.00
_cell_angle_gamma 120.00
_space_group_name_H-M_alt 'R 3 m'
_space_group_IT_number 160
_space_group_name_Hall 'R 3 -2"'
loop_
_atom_site_label
_atom_site_type_symbol
_atom_site_fract_x
_atom_site_fract_y
_atom_site_fract_z
Pm1 Pm 0.0000 0.0000 0.0000
Tm1 Tm 0.0000 0.0000 0.5720
Tm2 Tm 0.0000 0.0000 0.7607
Ag1 Ag 0.0000 0.0000 0.1660
```

<B>
Below is a geometry-optimized PmTm2Ag structure, with properties calculated at the GGA-PBE level.

Summary:
Its calculated density is 8.975 g/cm3.

Geometry as CIF:
```
data_PmTm2Ag
_chemical_formula_sum 'Pm1 Tm2 Ag1'
_cell_length_a 4.7617
_cell_length_b 4.7617
_cell_length_c 4.8203
_cell_angle_alpha 90.00
_cell_angle_beta 90.00
_cell_angle_gamma 90.00
_space_group_name_H-M_alt 'P 4/m m m'
_space_group_IT_number 123
_space_group_name_Hall '-P 4 2'
loop_
_atom_site_label
_atom_site_type_symbol
_atom_site_fract_x
_atom_site_fract_y
_atom_site_fract_z
Pm1 Pm 0.0000 0.0000 0.0000
Tm1 Tm 0.0000 0.5000 0.5000
Ag1 Ag 0.5000 0.5000 0.0000
```

Bottom line: <A>, by a margin of 20 meV/atom.